(1)
Density functional theory data (GGA-PBE) for an optimized crystal structure of Mg2CrGeTe.

Lattice parameters (Å, degrees): 5.3236 5.3236 5.0800 90.00 90.00 90.00
Space group P4/mmm (No. 123)
Unique sites:
Mg  0.0000  0.5000  0.0000
Cr  0.0000  0.0000  0.5000
Ge  0.5000  0.5000  0.5000
Te  0.0000  0.0000  0.0000

Computed properties:
- formation energy without anion corrections (meV per atom) = 667
- spin magnetization (μB/atom) = 0.77
- final energy (eV/atom) = -3.45


(2)
Density functional theory data (GGA-PBE) for an optimized crystal structure of TiInCu.

Lattice parameters (Å, degrees): 3.1160 5.8762 6.1076 106.10 90.03 105.35
Space group P-1 (No. 2)
Unique sites:
Ti  0.1671  0.3333  0.0783
In  0.1430  0.2868  0.5772
Cu  0.4985  0.9976  0.7895

Computed properties:
- spin magnetization (μB/atom) = 0.00
- final energy (eV/atom) = -4.95


(3)
Density functional theory data (GGA-PBE) for an optimized crystal structure of Pm2Sm6Tm.

Lattice parameters (Å, degrees): 9.8641 17.1505 3.5342 90.00 90.00 90.00
Space group Cmmm (No. 65)
Unique sites:
Pm  0.0000  0.1668  0.0000
Sm  0.1659  0.3347  0.5000
Sm  0.1692  0.0000  0.5000
Tm  0.0000  0.5000  0.0000

Computed properties:
- spin magnetization (μB/atom) = 0.00
- final energy (eV/atom) = -4.65
- energy above the lowest structure with this stoichiometry (meV per atom) = 0


(4)
Density functional theory data (GGA-PBE) for an optimized crystal structure of Er6Ge3SeS2.

Lattice parameters (Å, degrees): 17.6199 4.0421 8.0923 90.00 103.62 90.00
Space group C2/m (No. 12)
Unique sites:
Er  0.9995  0.0000  0.2413
Er  0.1665  0.5000  0.0847
Er  0.1701  0.5000  0.5827
Ge  0.0000  0.5000  0.0000
Ge  0.1656  0.0000  0.3317
Se  0.0000  0.5000  0.5000
S  0.1674  0.0000  0.8339

Computed properties:
- formation energy without anion corrections (meV per atom) = -1405
- spin magnetization (μB/atom) = 0.00
- final energy (eV/atom) = -5.82


(5)
Density functional theory data (GGA-PBE) for an optimized crystal structure of Pr6Dy3Er2Mg.

Lattice parameters (Å, degrees): 6.2673 10.8618 11.8053 90.00 100.24 90.00
Space group C2/m (No. 12)
Unique sites:
Pr  0.2484  0.1664  0.2476
Pr  0.2492  0.5000  0.2488
Dy  0.0000  0.1667  0.5000
Dy  0.0000  0.5000  0.5000
Er  0.0000  0.3335  0.0000
Mg  0.0000  0.0000  0.0000

Computed properties:
- spin magnetization (μB/atom) = 0.00
- final energy (eV/atom) = -4.41


(6)
Density functional theory data (GGA-PBE) for an optimized crystal structure of Re2NiAsCl.

Lattice parameters (Å, degrees): 4.7217 4.7217 4.1509 90.00 90.00 90.00
Space group P4/mmm (No. 123)
Unique sites:
Re  0.0000  0.5000  0.0000
Ni  0.0000  0.0000  0.0000
As  0.5000  0.5000  0.5000
Cl  0.0000  0.0000  0.5000

Computed properties:
- formation energy without anion corrections (meV per atom) = 1705
- spin magnetization (μB/atom) = 0.99
- final energy (eV/atom) = -5.73


(7)
Density functional theory data (GGA-PBE) for an optimized crystal structure of LiInSeS.

Lattice parameters (Å, degrees): 4.1291 4.1291 20.2778 90.00 90.00 120.00
Space group R3m (No. 160, hexagonal axes)
Unique sites:
Li  0.0000  0.0000  0.0000
In  0.0000  0.0000  0.4868
Se  0.0000  0.0000  0.3640
S  0.0000  0.0000  0.8734

Computed properties:
- formation energy without anion corrections (meV per atom) = -794
- spin magnetization (μB/atom) = 0.00
- final energy (eV/atom) = -3.86


(8)
Density functional theory data (GGA-PBE) for an optimized crystal structure of Y2UN4.

Lattice parameters (Å, degrees): 5.8266 9.7749 3.5353 90.00 90.00 90.00
Space group Pbam (No. 55)
Unique sites:
Y  0.0640  0.1773  0.0000
U  0.0000  0.5000  0.5000
N  0.1453  0.6948  0.5000
N  0.2305  0.4567  0.0000

Computed properties:
- formation energy without anion corrections (meV per atom) = -1590
- spin magnetization (μB/atom) = 0.00
- final energy (eV/atom) = -9.81